# ScRu3F (GGA-PBEsol, relaxed)
# E_form (uncorrected)	186.1	kJ per mole of atoms
# D(E_F)	7.129	states/eV/cell
data_ScRu3F
_space_group_name_H-M_alt 'P m -3 m'
_space_group_IT_number 221
_space_group_name_Hall '-P 4 2 3'
_cell_length_a 4.624
_cell_length_b 4.624
_cell_length_c 4.624
_cell_angle_alpha 90.00
_cell_angle_beta 90.00
_cell_angle_gamma 90.00
loop_
_atom_site_label
_atom_site_type_symbol
_atom_site_fract_x
_atom_site_fract_y
_atom_site_fract_z
_atom_site_occupancy
Sc1 Sc 0.000 0.000 0.000 1
Ru1 Ru 0.000 0.000 0.500 1
F1 F 0.500 0.500 0.500 1